(1)
Compound: CdOsPt2
Source: the Alexandria database
Functional: meta-GGA SCAN
Structure: PBEsol geometry

Lattice parameters (Å, degrees): 9.113 2.753 5.020 90.00 98.62 90.00
Space group C2/m (No. 12)
One atom of each set of equivalent atoms:
Cd 0.000 0.000 0.000 [2 per cell]
Os 0.000 0.500 0.500 [2 per cell]
Pt 0.244 0.000 0.734 [4 per cell]

* formation enthalpy at 0 K: 0.23 eV per atom
* E: -60.443 eV/atom

(2)
Compound: CdOsPt
Source: the Alexandria database
Functional: meta-GGA SCAN
Structure: PBEsol geometry

Lattice parameters (Å, degrees): 2.719 3.875 9.235 90.00 90.00 90.00
Space group Imm2 (No. 44)
One atom of each set of equivalent atoms:
Cd 0.000 0.000 0.000 [2 per cell]
Os 0.000 0.000 0.685 [2 per cell]
Pt 0.000 0.000 0.316 [2 per cell]

* formation enthalpy at 0 K: 0.44 eV per atom
* E: -57.051 eV/atom

(3)
Compound: Cd2OsPt
Source: the Alexandria database
Functional: meta-GGA SCAN
Structure: PBEsol geometry

Lattice parameters (Å, degrees): 2.758 4.851 10.337 90.00 90.00 90.00
Space group Imm2 (No. 44)
One atom of each set of equivalent atoms:
Cd 0.000 0.000 0.000 [2 per cell]
Cd 0.000 0.500 0.211 [2 per cell]
Os 0.000 0.500 0.747 [2 per cell]
Pt 0.000 0.000 0.460 [2 per cell]

* formation enthalpy at 0 K: 0.29 eV per atom
* E: -50.435 eV/atom

(4)
Compound: CdOsPt2
Source: the Alexandria database
Functional: meta-GGA SCAN
Structure: PBEsol geometry

Lattice parameters (Å, degrees): 3.928 3.928 4.012 90.00 90.00 90.00
Space group P4/mmm (No. 123)
One atom of each set of equivalent atoms:
Cd 0.000 0.000 0.000 [1 per cell]
Os 0.500 0.500 0.000 [1 per cell]
Pt 0.000 0.500 0.500 [2 per cell]

* formation enthalpy at 0 K: 0.32 eV per atom
* E: -60.355 eV/atom

(5)
Compound: RbCdOs3
Source: the Alexandria database
Functional: meta-GGA SCAN
Structure: PBEsol geometry

Lattice parameters (Å, degrees): 4.998 4.998 4.998 90.00 90.00 90.00
Space group Pm-3m (No. 221)
One atom of each set of equivalent atoms:
Rb 0.000 0.000 0.000 [1 per cell]
Cd 0.500 0.500 0.500 [1 per cell]
Os 0.000 0.500 0.500 [3 per cell]

* formation enthalpy at 0 K: 3.06 eV per atom
* E: -50.294 eV/atom

(6)
Compound: CdRe2Os
Source: the Alexandria database
Functional: meta-GGA SCAN
Structure: PBEsol geometry

Lattice parameters (Å, degrees): 6.259 6.259 6.259 90.00 90.00 90.00
Space group F-43m (No. 216)
One atom of each set of equivalent atoms:
Cd 0.000 0.000 0.000 [4 per cell]
Re 0.000 0.000 0.500 [4 per cell]
Re 0.250 0.250 0.750 [4 per cell]
Os 0.250 0.250 0.250 [4 per cell]

* formation enthalpy at 0 K: 0.66 eV per atom
* E: -60.460 eV/atom

(7)
Compound: CdRe2Os
Source: the Alexandria database
Functional: meta-GGA SCAN
Structure: PBEsol geometry

Lattice parameters (Å, degrees): 2.784 2.784 8.013 90.00 90.00 90.00
Space group P4mm (No. 99)
One atom of each set of equivalent atoms:
Cd 0.000 0.000 0.000 [1 per cell]
Re 0.000 0.000 0.488 [1 per cell]
Re 0.500 0.500 0.724 [1 per cell]
Os 0.500 0.500 0.270 [1 per cell]

* formation enthalpy at 0 K: 0.34 eV per atom
* E: -60.781 eV/atom

(8)
Compound: CdReOs2
Source: the Alexandria database
Functional: meta-GGA SCAN
Structure: PBEsol geometry

Lattice parameters (Å, degrees): 2.768 4.701 9.660 90.00 90.00 90.00
Space group Immm (No. 71)
One atom of each set of equivalent atoms:
Cd 0.000 0.000 0.000 [2 per cell]
Re 0.000 0.000 0.500 [2 per cell]
Os 0.000 0.500 0.224 [4 per cell]

* formation enthalpy at 0 K: 0.67 eV per atom
* E: -60.648 eV/atom

(9)
Compound: CdReOs
Source: the Alexandria database
Functional: meta-GGA SCAN
Structure: PBEsol geometry

Lattice parameters (Å, degrees): 2.846 2.846 11.859 90.00 90.00 90.00
Space group I4mm (No. 107)
One atom of each set of equivalent atoms:
Cd 0.000 0.000 0.000 [2 per cell]
Re 0.000 0.000 0.315 [2 per cell]
Os 0.000 0.000 0.682 [2 per cell]

* formation enthalpy at 0 K: 0.29 eV per atom
* E: -57.509 eV/atom
* energy above the most stable polymorph in this dataset: 0.000 eV per formula unit

(10)
Compound: CdReOs
Source: the Alexandria database
Functional: meta-GGA SCAN
Structure: PBEsol geometry

Lattice parameters (Å, degrees): 2.864 4.668 14.351 90.00 90.00 90.00
Space group Fmm2 (No. 42)
One atom of each set of equivalent atoms:
Cd 0.000 0.000 0.000 [4 per cell]
Re 0.000 0.000 0.322 [4 per cell]
Os 0.000 0.000 0.676 [4 per cell]

* formation enthalpy at 0 K: 0.55 eV per atom
* E: -57.247 eV/atom
* energy above the most stable polymorph in this dataset: 0.786 eV per formula unit

(11)
Compound: CdRe2Os
Source: the Alexandria database
Functional: meta-GGA SCAN
Structure: PBEsol geometry

Lattice parameters (Å, degrees): 2.7614 2.7614 27.9351 90.00 90.00 120.00
Space group R-3m (No. 166, hexagonal axes)
One atom of each set of equivalent atoms:
Cd 0.0000 0.0000 0.0000 [3 per cell]
Re 0.0000 0.0000 0.2437 [6 per cell]
Os 0.0000 0.0000 0.5000 [3 per cell]

* formation enthalpy at 0 K: 0.30 eV per atom
* E: -60.821 eV/atom

(12)
Compound: CdOsRh2
Source: the Alexandria database
Functional: meta-GGA SCAN
Structure: PBEsol geometry

Lattice parameters (Å, degrees): 2.740 4.569 9.703 90.00 90.00 90.00
Space group Imm2 (No. 44)
One atom of each set of equivalent atoms:
Cd 0.000 0.000 0.000 [2 per cell]
Os 0.000 0.500 0.769 [2 per cell]
Rh 0.000 0.000 0.486 [2 per cell]
Rh 0.000 0.500 0.225 [2 per cell]

* formation enthalpy at 0 K: 0.29 eV per atom
* E: -42.166 eV/atom